## Pm5TiGe4 (PBE)

Data for a relaxed structure of Pm5TiGe4.

a = 9.203 Å, b = 9.203 Å, c = 7.887 Å
α = 105.17°, β = 105.17°, γ = 25.65°
Sites, in units of the cell vectors:
Pm: 0.000 0.000 0.000
Pm: 0.329 0.329 0.668
Pm: 0.335 0.335 0.147
Pm: 0.665 0.665 0.853
Pm: 0.671 0.671 0.332
Ti: 0.000 0.000 0.500
Ge: 0.157 0.157 0.588
Ge: 0.498 0.498 0.721
Ge: 0.502 0.502 0.279
Ge: 0.843 0.843 0.412

Energy of formation from the pure elements (eV per atom): -0.4691
Crystal system: monoclinic
Uncorrected energy (eV for the cell shown): -54.81

## Pm12TiGe7 (PBE)

Data for a relaxed structure of Pm12TiGe7.

a = 9.060 Å, b = 9.060 Å, c = 9.060 Å
α = 107.26°, β = 107.26°, γ = 107.26°
Sites, in units of the cell vectors:
Pm: 0.031 0.352 0.119
Pm: 0.119 0.031 0.352
Pm: 0.180 0.729 0.578
Pm: 0.271 0.422 0.820
Pm: 0.352 0.119 0.031
Pm: 0.422 0.820 0.271
Pm: 0.578 0.180 0.729
Pm: 0.648 0.881 0.969
Pm: 0.729 0.578 0.180
Pm: 0.820 0.271 0.422
Pm: 0.881 0.969 0.648
Pm: 0.969 0.648 0.881
Ti: 0.500 0.500 0.500
Ge: 0.000 0.000 0.000
Ge: 0.178 0.391 0.471
Ge: 0.391 0.471 0.178
Ge: 0.471 0.178 0.391
Ge: 0.529 0.822 0.609
Ge: 0.609 0.529 0.822
Ge: 0.822 0.609 0.529

Energy of formation from the pure elements (eV per atom): -0.4023
Crystal system: trigonal
Uncorrected energy (eV for the cell shown): -105.27

## Pm2TiGe2 (PBE)

Data for a relaxed structure of Pm2TiGe2.

a = 8.649 Å, b = 8.014 Å, c = 7.402 Å
α = 90.00°, β = 102.24°, γ = 90.00°
Sites, in units of the cell vectors:
Pm: 0.095 0.228 0.032
Pm: 0.095 0.272 0.532
Pm: 0.306 0.627 0.910
Pm: 0.306 0.873 0.410
Pm: 0.694 0.127 0.590
Pm: 0.694 0.373 0.090
Pm: 0.905 0.728 0.468
Pm: 0.905 0.772 0.968
Ti: 0.384 0.068 0.871
Ti: 0.384 0.432 0.371
Ti: 0.616 0.568 0.629
Ti: 0.616 0.932 0.129
Ge: 0.106 0.552 0.246
Ge: 0.106 0.948 0.746
Ge: 0.443 0.160 0.222
Ge: 0.443 0.340 0.722
Ge: 0.557 0.660 0.278
Ge: 0.557 0.840 0.778
Ge: 0.894 0.052 0.254
Ge: 0.894 0.448 0.754

Energy of formation from the pure elements (eV per atom): -0.6334
Crystal system: monoclinic
Uncorrected energy (eV for the cell shown): -119.19

## Pm5TiGe6 (PBE)

Data for a relaxed structure of Pm5TiGe6.

a = 7.774 Å, b = 7.774 Å, c = 7.039 Å
α = 99.05°, β = 99.05°, γ = 132.12°
Sites, in units of the cell vectors:
Pm: 0.000 0.000 0.000
Pm: 0.304 0.696 0.000
Pm: 0.356 0.644 0.500
Pm: 0.644 0.356 0.500
Pm: 0.696 0.304 0.000
Ti: 0.000 0.000 0.500
Ge: 0.141 0.825 0.303
Ge: 0.175 0.859 0.697
Ge: 0.454 0.454 0.799
Ge: 0.546 0.546 0.201
Ge: 0.825 0.141 0.303
Ge: 0.859 0.175 0.697

Energy of formation from the pure elements (eV per atom): -0.6690
Crystal system: monoclinic
Uncorrected energy (eV for the cell shown): -67.38

## PmTiGe (PBE)

Data for a relaxed structure of PmTiGe.

a = 4.117 Å, b = 4.117 Å, c = 7.900 Å
α = 90.00°, β = 90.00°, γ = 90.00°
Sites, in units of the cell vectors:
Pm: 0.250 0.250 0.155
Pm: 0.750 0.750 0.845
Ti: 0.250 0.750 0.500
Ti: 0.750 0.250 0.500
Ge: 0.250 0.250 0.729
Ge: 0.750 0.750 0.271

Energy of formation from the pure elements (eV per atom): -0.6453
Crystal system: tetragonal
Uncorrected energy (eV for the cell shown): -38.40

## PmTiGe (PBE)

Data for a relaxed structure of PmTiGe.

a = 8.457 Å, b = 8.457 Å, c = 8.457 Å
α = 151.84°, β = 151.84°, γ = 40.24°
Sites, in units of the cell vectors:
Pm: 0.174 0.174 0.000
Pm: 0.826 0.826 0.000
Ti: 0.000 0.500 0.500
Ti: 0.500 0.000 0.500
Ge: 0.382 0.382 0.000
Ge: 0.618 0.618 0.000

Energy of formation from the pure elements (eV per atom): -0.6363
Crystal system: tetragonal
Uncorrected energy (eV for the cell shown): -38.34

## Pm3TiGe3 (PBE)

Data for a relaxed structure of Pm3TiGe3.

a = 7.292 Å, b = 7.292 Å, c = 7.530 Å
α = 93.79°, β = 93.79°, γ = 111.86°
Sites, in units of the cell vectors:
Pm: 0.165 0.835 0.000
Pm: 0.237 0.763 0.500
Pm: 0.401 0.401 0.168
Pm: 0.599 0.599 0.832
Pm: 0.763 0.237 0.500
Pm: 0.835 0.165 0.000
Ti: 0.201 0.201 0.624
Ti: 0.799 0.799 0.376
Ge: 0.089 0.089 0.296
Ge: 0.138 0.476 0.790
Ge: 0.476 0.138 0.790
Ge: 0.524 0.862 0.210
Ge: 0.862 0.524 0.210
Ge: 0.911 0.911 0.704

Energy of formation from the pure elements (eV per atom): -0.5793
Crystal system: monoclinic
Uncorrected energy (eV for the cell shown): -80.11

## Pm3TiGe4 (PBE)

Data for a relaxed structure of Pm3TiGe4.

a = 5.845 Å, b = 11.616 Å, c = 5.844 Å
α = 90.00°, β = 90.00°, γ = 90.00°
Sites, in units of the cell vectors:
Pm: 0.250 0.000 0.250
Pm: 0.250 0.250 0.749
Pm: 0.250 0.500 0.250
Pm: 0.750 0.000 0.750
Pm: 0.750 0.500 0.750
Pm: 0.750 0.750 0.251
Ti: 0.250 0.750 0.751
Ti: 0.750 0.250 0.249
Ge: 0.250 0.250 0.249
Ge: 0.250 0.525 0.750
Ge: 0.250 0.750 0.250
Ge: 0.250 0.975 0.750
Ge: 0.750 0.025 0.250
Ge: 0.750 0.250 0.750
Ge: 0.750 0.475 0.250
Ge: 0.750 0.750 0.751

Energy of formation from the pure elements (eV per atom): -0.5220
Crystal system: orthorhombic
Uncorrected energy (eV for the cell shown): -89.58

Which of these has the highest uncorrected energy? number 6

Please write out number 3 again, unchanged.
## Pm2TiGe2 (PBE)

Data for a relaxed structure of Pm2TiGe2.

a = 8.649 Å, b = 8.014 Å, c = 7.402 Å
α = 90.00°, β = 102.24°, γ = 90.00°
Sites, in units of the cell vectors:
Pm: 0.095 0.228 0.032
Pm: 0.095 0.272 0.532
Pm: 0.306 0.627 0.910
Pm: 0.306 0.873 0.410
Pm: 0.694 0.127 0.590
Pm: 0.694 0.373 0.090
Pm: 0.905 0.728 0.468
Pm: 0.905 0.772 0.968
Ti: 0.384 0.068 0.871
Ti: 0.384 0.432 0.371
Ti: 0.616 0.568 0.629
Ti: 0.616 0.932 0.129
Ge: 0.106 0.552 0.246
Ge: 0.106 0.948 0.746
Ge: 0.443 0.160 0.222
Ge: 0.443 0.340 0.722
Ge: 0.557 0.660 0.278
Ge: 0.557 0.840 0.778
Ge: 0.894 0.052 0.254
Ge: 0.894 0.448 0.754

Energy of formation from the pure elements (eV per atom): -0.6334
Crystal system: monoclinic
Uncorrected energy (eV for the cell shown): -119.19